{"formula": "Ac5Si2N", "functional": "GGA-PBE", "state": "optimized geometry", "raw_formation_energy_mev_per_atom": -375, "sg": "Cmcm (63)", "dos_at_fermi_per_ev_cell": 14.5, "cell": [[6.1623, 0.0000, 0.0000], [-3.0812, 6.5148, 0.0000], [0.0000, 0.0000, 13.9829]], "species": ["N", "N", "Ac", "Si", "Ac", "Ac", "Ac", "Ac", "Si", "Si", "Ac", "Ac", "Ac", "Si", "Ac", "Ac"], "frac_coords": [[0.2043, 0.4086, 0.2500], [0.7957, 0.5914, 0.7500], [0.6624, 0.3249, 0.8958], [0.1780, 0.3561, 0.5689], [0.3376, 0.6751, 0.3958], [0.9427, 0.8854, 0.8771], [0.3376, 0.6751, 0.1042], [0.9427, 0.8854, 0.6229], [0.8220, 0.6439, 0.0689], [0.1780, 0.3561, 0.9311], [0.6943, 0.3887, 0.2500], [0.0573, 0.1146, 0.3771], [0.0573, 0.1146, 0.1229], [0.8220, 0.6439, 0.4311], [0.6624, 0.3249, 0.6042], [0.3057, 0.6113, 0.7500]]}

---

{"formula": "Ac6Si3N2", "functional": "GGA-PBE", "state": "optimized geometry", "raw_formation_energy_mev_per_atom": -690, "sg": "I4/mmm (139)", "dos_at_fermi_per_ev_cell": 2.1, "cell": [[-4.9508, -1.1709, -0.2511], [1.0917, -3.9738, -2.9935], [3.1694, -4.8912, 11.9821]], "species": ["Ac", "Si", "Ac", "Si", "Ac", "N", "Ac", "Ac", "Ac", "Si", "N"], "frac_coords": [[0.7011, 0.7011, 0.4023], [0.1712, 0.1712, 0.3425], [0.5840, 0.0840, 0.1679], [0.8288, 0.8288, 0.6575], [0.0840, 0.5840, 0.1679], [0.6061, 0.6061, 0.2122], [0.9160, 0.4160, 0.8321], [0.2989, 0.2989, 0.5977], [0.4160, 0.9160, 0.8321], [0.0000, 0.0000, 0.0000], [0.3939, 0.3939, 0.7878]]}

---

{"formula": "Ac4Si2N", "functional": "GGA-PBE", "state": "optimized geometry", "raw_formation_energy_mev_per_atom": -577, "sg": "I4/mmm (139)", "polymorph_energy_mev_per_atom": 49, "dos_at_fermi_per_ev_cell": 3.8, "cell": [[5.0894, 0.0000, 0.0000], [0.0000, 5.0894, 0.0000], [-2.5447, -2.5447, 8.3495]], "species": ["N", "Si", "Si", "Ac", "Ac", "Ac", "Ac"], "frac_coords": [[0.0000, 0.0000, 0.0000], [0.3656, 0.3656, 0.7313], [0.6344, 0.6344, 0.2687], [0.1767, 0.1767, 0.3533], [0.8233, 0.8233, 0.6467], [0.5000, 0.0000, 0.0000], [0.0000, 0.5000, 0.0000]]}

---

{"formula": "Ac4Si2N", "functional": "GGA-PBE", "state": "optimized geometry", "raw_formation_energy_mev_per_atom": -626, "sg": "P2_1/m (11)", "polymorph_energy_mev_per_atom": 0, "dos_at_fermi_per_ev_cell": 4.3, "cell": [[6.9878, 0.0000, -2.2766], [0.0000, 7.2210, 0.0000], [0.0196, 0.0000, 9.0214]], "species": ["Ac", "Ac", "Si", "Si", "Ac", "Si", "Ac", "Ac", "Ac", "Ac", "N", "Ac", "N", "Si"], "frac_coords": [[0.5142, 0.0032, 0.7482], [0.5142, 0.4968, 0.7482], [0.7203, 0.7500, 0.0544], [0.2600, 0.2500, 0.4400], [0.0687, 0.7500, 0.9124], [0.7400, 0.7500, 0.5600], [0.4858, 0.9968, 0.2518], [0.9412, 0.2500, 0.6302], [0.9313, 0.2500, 0.0876], [0.0588, 0.7500, 0.3698], [0.7472, 0.2500, 0.8109], [0.4858, 0.5032, 0.2518], [0.2528, 0.7500, 0.1891], [0.2797, 0.2500, 0.9456]]}

---

{"formula": "Ac2SiN", "functional": "GGA-PBE", "state": "optimized geometry", "raw_formation_energy_mev_per_atom": -640, "sg": "C2/c (15)", "polymorph_energy_mev_per_atom": 0, "dos_at_fermi_per_ev_cell": 2.9, "cell": [[-4.6779, -2.0067, -0.1831], [0.3639, -0.2633, -6.3999], [5.0933, -5.5393, 1.3313]], "species": ["Ac", "N", "Si", "N", "Ac", "Ac", "Ac", "Si"], "frac_coords": [[0.6831, 0.6591, 0.6688], [0.3846, 0.3712, 0.4536], [0.3630, 0.6213, 0.9536], [0.3414, 0.8713, 0.4536], [0.2583, 0.1591, 0.6689], [0.0430, 0.5833, 0.2384], [0.4678, 0.0833, 0.2383], [0.8630, 0.1213, 0.9536]]}

---

{"formula": "AcSi2N3", "functional": "GGA-PBE", "state": "optimized geometry", "raw_formation_energy_mev_per_atom": -424, "sg": "Cmcm (63)", "dos_at_fermi_per_ev_cell": 6.1, "cell": [[-0.4147, -4.0426, 2.0418], [6.3989, -0.8331, -0.3498], [-1.9223, 2.9375, 5.4257]], "species": ["N", "Si", "N", "N", "Si", "N", "Si", "Ac", "N", "N", "Ac", "Si"], "frac_coords": [[0.2500, 0.9280, 0.0720], [0.5000, 0.8074, 0.8074], [0.2500, 0.3849, 0.1400], [0.2500, 0.8600, 0.6151], [0.0000, 0.8074, 0.8074], [0.7500, 0.6151, 0.8600], [0.5000, 0.1926, 0.1926], [0.2500, 0.2890, 0.7110], [0.7500, 0.1400, 0.3849], [0.7500, 0.0720, 0.9280], [0.7500, 0.7110, 0.2890], [0.0000, 0.1926, 0.1926]]}

---

{"formula": "SrAcSiN3", "functional": "GGA-PBE", "state": "optimized geometry", "raw_formation_energy_mev_per_atom": -760, "sg": "C2/m (12)", "dos_at_fermi_per_ev_cell": 4.0, "cell": [[-3.1993, -2.3433, 0.2948], [3.7013, -0.9564, 5.7464], [-4.3627, 6.1157, 1.2660]], "species": ["N", "Sr", "Si", "N", "N", "N", "Ac", "Ac", "N", "Sr", "N", "Si"], "frac_coords": [[0.1436, 0.2871, 0.3204], [0.6452, 0.2905, 0.0685], [0.9985, 0.9970, 0.7483], [0.5026, 0.0052, 0.2616], [0.8602, 0.7204, 0.1802], [0.8564, 0.7129, 0.6796], [0.3508, 0.7016, 0.4188], [0.6492, 0.2984, 0.5812], [0.4974, 0.9948, 0.7384], [0.3548, 0.7095, 0.9315], [0.1398, 0.2796, 0.8198], [0.0015, 0.0030, 0.2517]]}

---

{"formula": "SrAc2SiN4", "functional": "GGA-PBE", "state": "optimized geometry", "raw_formation_energy_mev_per_atom": -925, "sg": "Cmcm (63)", "cell": [[3.6280, 0.0000, 0.0000], [-1.8140, 6.5370, 0.0000], [0.0000, 0.0000, 12.6213]], "species": ["Si", "N", "Si", "N", "N", "N", "Sr", "Sr", "N", "N", "Ac", "N", "Ac", "N", "Ac", "Ac"], "frac_coords": [[0.8035, 0.6070, 0.7500], [0.6256, 0.2512, 0.2500], [0.1965, 0.3930, 0.2500], [0.7315, 0.4629, 0.6353], [0.7315, 0.4629, 0.8647], [0.2685, 0.5371, 0.3647], [0.1127, 0.2254, 0.7500], [0.8873, 0.7746, 0.2500], [0.2685, 0.5371, 0.1353], [0.0000, 0.0000, 0.5000], [0.6305, 0.2609, 0.4571], [0.0000, 0.0000, 0.0000], [0.3695, 0.7391, 0.5429], [0.3744, 0.7488, 0.7500], [0.3695, 0.7391, 0.9571], [0.6305, 0.2609, 0.0429]]}

---

{"formula": "Ac3TbSi2N6", "functional": "GGA-PBE", "state": "optimized geometry", "raw_formation_energy_mev_per_atom": -1116, "sg": "P-3m1 (164)", "dos_at_fermi_per_ev_cell": 2.8, "cell": [[5.9667, 0.0000, 0.0000], [-2.9833, 5.1673, 0.0000], [0.0000, 0.0000, 6.8474]], "species": ["N", "Ac", "Si", "N", "Si", "N", "N", "Tb", "N", "Ac", "Ac", "N"], "frac_coords": [[0.8238, 0.6476, 0.7108], [0.3333, 0.6667, 0.6589], [0.6667, 0.3333, 0.7917], [0.1762, 0.3524, 0.2892], [0.3333, 0.6667, 0.2083], [0.6476, 0.8238, 0.2892], [0.3524, 0.1762, 0.7108], [0.0000, 0.0000, 0.5000], [0.1762, 0.8238, 0.2892], [0.0000, 0.0000, 0.0000], [0.6667, 0.3333, 0.3411], [0.8238, 0.1762, 0.7108]]}

---

{"formula": "Ac2Si2Tc2N", "functional": "GGA-PBE", "state": "optimized geometry", "raw_formation_energy_mev_per_atom": -701, "sg": "C2/m (12)", "dos_at_fermi_per_ev_cell": 3.5, "cell": [[4.2064, 0.0000, 0.0000], [2.1032, 5.8344, -0.4205], [2.1032, 1.7577, 5.7830]], "species": ["Tc", "N", "Ac", "Si", "Tc", "Si", "Ac"], "frac_coords": [[0.1926, 0.7005, 0.9143], [0.0000, 0.0000, 0.0000], [0.4396, 0.8150, 0.3058], [0.8172, 0.6187, 0.7468], [0.8074, 0.2995, 0.0857], [0.1828, 0.3813, 0.2532], [0.5604, 0.1850, 0.6942]]}

---

{"formula": "Ac8Si3Te4N", "functional": "GGA-PBE", "state": "optimized geometry", "raw_formation_energy_mev_per_atom": -1097, "sg": "C2/m (12)", "dos_at_fermi_per_ev_cell": 3.6, "cell": [[-5.9851, 6.7109, 0.9853], [-2.5082, -0.9196, -8.9724], [-0.3890, -7.2399, 5.4237]], "species": ["Ac", "Si", "Ac", "Ac", "Ac", "Te", "Te", "Ac", "Ac", "Si", "Ac", "Te", "Ac", "Te", "Si", "N"], "frac_coords": [[0.2277, 0.7097, 0.9819], [0.0000, 0.5000, 0.5000], [0.7723, 0.2903, 0.0181], [0.2313, 0.7130, 0.4626], [0.7687, 0.2870, 0.5374], [0.0000, 0.0000, 0.0000], [0.5000, 0.0000, 0.5000], [0.7417, 0.7253, 0.4834], [0.2583, 0.2747, 0.5166], [0.5000, 0.5000, 0.5000], [0.7542, 0.7097, 0.9819], [0.5000, 0.0000, 0.0000], [0.2458, 0.2903, 0.0181], [0.0000, 0.0000, 0.5000], [0.5000, 0.5000, 0.0000], [0.0000, 0.5000, 0.0000]]}

---

{"formula": "AcTh2SiN5", "functional": "GGA-PBE", "state": "optimized geometry", "raw_formation_energy_mev_per_atom": -1269, "sg": "P4/mbm (127)", "dos_at_fermi_per_ev_cell": 0.1, "cell": [[-5.4319, 0.4248, -2.0550], [-2.4418, -0.7896, 6.2911], [0.1803, 6.7302, 0.9146]], "species": ["Th", "Th", "Ac", "N", "N", "Th", "Th", "N", "N", "Si", "N", "Si", "N", "Ac", "N", "N", "N", "N"], "frac_coords": [[0.5000, 0.8204, 0.6796], [0.5000, 0.3204, 0.8204], [0.0000, 0.0000, 0.0000], [0.5000, 0.0000, 0.0000], [0.5000, 0.5000, 0.5000], [0.5000, 0.6796, 0.1796], [0.5000, 0.1796, 0.3204], [0.2217, 0.8654, 0.3654], [0.7783, 0.1346, 0.6346], [0.0000, 0.0000, 0.5000], [0.2217, 0.3654, 0.1346], [0.0000, 0.5000, 0.0000], [0.2217, 0.6346, 0.8654], [0.0000, 0.5000, 0.5000], [0.7783, 0.6346, 0.8654], [0.7783, 0.3654, 0.1346], [0.7783, 0.8654, 0.3654], [0.2217, 0.1346, 0.6346]]}